No. 1
A geometry-optimized Er2TlI structure, computed with PBE.

Structure (POSCAR):
```
Er2TlI
1.0
4.433 0.000 0.000
-2.217 3.839 0.000
0.000 0.000 22.872
Er Tl I
6 3 3
Direct
0.000 0.000 0.000
0.000 0.000 0.201
0.333 0.667 0.667
0.333 0.667 0.868
0.667 0.333 0.333
0.667 0.333 0.534
0.000 0.000 0.602
0.333 0.667 0.269
0.667 0.333 0.935
0.000 0.000 0.429
0.333 0.667 0.096
0.667 0.333 0.763
```

Results
The relative energy among the computed polymorphs comes out at 0.060 eV/atom. The calculation puts the formation energy (no corrections) at -375 meV/atom.



No. 2
A geometry-optimized ErTl5I8 structure, computed with PBE.

Structure (POSCAR):
```
ErTl5I8
1.0
-5.206 5.206 5.296
5.206 -5.206 5.296
5.206 5.206 -5.296
Er Tl I
1 5 8
Direct
0.000 0.000 0.000
0.250 0.150 0.626
0.376 0.750 0.900
0.524 0.624 0.374
0.750 0.250 0.500
0.850 0.476 0.100
0.002 0.791 0.655
0.104 0.342 0.893
0.135 0.347 0.345
0.209 0.865 0.211
0.449 0.211 0.107
0.653 0.998 0.789
0.658 0.551 0.762
0.789 0.896 0.238
```

Results
The calculation puts the formation energy (no corrections) at -806 meV/atom.



No. 3
A geometry-optimized ErTmI structure, computed with PBE.

Structure (POSCAR):
```
ErTmI
1.0
3.653 0.000 0.000
0.000 3.653 0.000
0.000 0.000 13.675
Er Tm I
2 2 2
Direct
0.000 0.000 0.000
0.500 0.500 0.500
0.000 0.000 0.335
0.500 0.500 0.835
0.000 0.000 0.668
0.500 0.500 0.168
```

Results
The relative energy among the computed polymorphs comes out at 0.000 eV/atom. The calculation puts the formation energy (no corrections) at -365 meV/atom.



No. 4
A geometry-optimized Er2TmI structure, computed with PBE.

Structure (POSCAR):
```
Er2TmI
1.0
3.705 0.000 0.000
-1.853 3.209 0.000
0.000 0.000 31.013
Er Tm I
6 3 3
Direct
0.000 0.000 0.246
0.000 0.000 0.754
0.333 0.667 0.420
0.333 0.667 0.913
0.667 0.333 0.087
0.667 0.333 0.580
0.000 0.000 0.000
0.333 0.667 0.667
0.667 0.333 0.333
0.000 0.000 0.500
0.333 0.667 0.167
0.667 0.333 0.833
```

Results
The relative energy among the computed polymorphs comes out at 0.000 eV/atom. The calculation puts the formation energy (no corrections) at -315 meV/atom.



No. 5
A geometry-optimized ErTmI structure, computed with PBE.

Structure (POSCAR):
```
ErTmI
1.0
5.375 0.000 0.000
-2.688 4.655 0.000
0.000 0.000 3.719
Er Tm I
1 1 1
Direct
0.000 0.000 0.000
0.667 0.333 0.521
0.333 0.667 0.761
```

Results
The relative energy among the computed polymorphs comes out at 0.226 eV/atom. The calculation puts the formation energy (no corrections) at -139 meV/atom.



No. 6
A geometry-optimized Er2TmI structure, computed with PBE.

Structure (POSCAR):
```
Er2TmI
1.0
3.604 0.000 0.000
0.000 3.604 0.000
0.000 0.000 9.363
Er Tm I
2 1 1
Direct
0.000 0.000 0.248
0.000 0.000 0.752
0.500 0.500 0.500
0.500 0.500 0.000
```

Results
The relative energy among the computed polymorphs comes out at 0.062 eV/atom. The calculation puts the formation energy (no corrections) at -253 meV/atom.



No. 7
A geometry-optimized YEr2I structure, computed with PBE.

Structure (POSCAR):
```
YEr2I
1.0
3.730 0.000 0.000
-1.865 3.230 0.000
0.000 0.000 31.183
Y Er I
3 6 3
Direct
0.000 0.000 0.000
0.333 0.667 0.667
0.667 0.333 0.333
0.000 0.000 0.246
0.000 0.000 0.754
0.333 0.667 0.421
0.333 0.667 0.912
0.667 0.333 0.088
0.667 0.333 0.579
0.000 0.000 0.500
0.333 0.667 0.167
0.667 0.333 0.833
```

Results
The calculation puts the formation energy (no corrections) at -324 meV/atom.



No. 8
A geometry-optimized Y2ErI structure, computed with PBE.

Structure (POSCAR):
```
Y2ErI
1.0
3.609 0.000 0.000
-1.804 3.125 0.000
0.000 0.000 34.953
Y Er I
6 3 3
Direct
0.000 0.000 0.095
0.000 0.000 0.905
0.333 0.667 0.571
0.333 0.667 0.762
0.667 0.333 0.238
0.667 0.333 0.429
0.000 0.000 0.000
0.333 0.667 0.667
0.667 0.333 0.333
0.000 0.000 0.500
0.333 0.667 0.167
0.667 0.333 0.833
```

Results
The relative energy among the computed polymorphs comes out at 0.349 eV/atom. The calculation puts the formation energy (no corrections) at -9 meV/atom.



No. 9
A geometry-optimized Y2ErI structure, computed with PBE.

Structure (POSCAR):
```
Y2ErI
1.0
3.769 0.000 0.000
-1.884 3.264 0.000
0.000 0.000 31.049
Y Er I
6 3 3
Direct
0.000 0.000 0.000
0.000 0.000 0.174
0.333 0.667 0.667
0.333 0.667 0.841
0.667 0.333 0.333
0.667 0.333 0.507
0.000 0.000 0.420
0.333 0.667 0.087
0.667 0.333 0.753
0.000 0.000 0.587
0.333 0.667 0.254
0.667 0.333 0.920
```

Results
The relative energy among the computed polymorphs comes out at 0.000 eV/atom. The calculation puts the formation energy (no corrections) at -358 meV/atom.



No. 10
A geometry-optimized Y2ErI structure, computed with PBE.

Structure (POSCAR):
```
Y2ErI
1.0
3.639 0.000 0.000
0.000 3.639 0.000
0.000 0.000 9.473
Y Er I
2 1 1
Direct
0.000 0.000 0.246
0.000 0.000 0.754
0.500 0.500 0.500
0.500 0.500 0.000
```

Results
The relative energy among the computed polymorphs comes out at 0.078 eV/atom. The calculation puts the formation energy (no corrections) at -280 meV/atom.



No. 11
A geometry-optimized YErI6 structure, computed with PBE.

Structure (POSCAR):
```
YErI6
1.0
7.433 0.000 0.000
0.000 14.851 0.000
-2.362 0.000 7.053
Y Er I
2 2 12
Direct
0.000 0.000 0.000
0.500 0.500 0.000
0.000 0.500 0.500
0.500 0.000 0.500
0.248 0.500 0.250
0.249 0.357 0.747
0.249 0.643 0.747
0.251 0.143 0.253
0.251 0.857 0.253
0.252 0.000 0.750
0.748 0.000 0.250
0.749 0.143 0.747
0.749 0.857 0.747
0.751 0.357 0.253
0.751 0.643 0.253
0.752 0.500 0.750
```

Results
The relative energy among the computed polymorphs comes out at 0.000 eV/atom. The calculation puts the formation energy (no corrections) at -1347 meV/atom.



No. 12
A geometry-optimized YErI structure, computed with PBE.

Structure (POSCAR):
```
YErI
1.0
3.823 0.000 0.000
-1.911 3.311 0.000
0.000 0.000 7.493
Y Er I
1 1 1
Direct
0.000 0.000 0.000
0.667 0.333 0.347
0.333 0.667 0.673
```

Results
The calculation puts the formation energy (no corrections) at -514 meV/atom.



No. 13
A geometry-optimized YErI6 structure, computed with PBE.

Structure (POSCAR):
```
YErI6
1.0
3.804 2.196 6.857
-3.804 2.196 6.857
0.000 -4.392 6.857
Y Er I
1 1 6
Direct
0.000 0.000 0.000
0.500 0.500 0.500
0.093 0.410 0.748
0.252 0.907 0.590
0.410 0.748 0.093
0.590 0.252 0.907
0.748 0.093 0.410
0.907 0.590 0.252
```

Results
The relative energy among the computed polymorphs comes out at 0.026 eV/atom. The calculation puts the formation energy (no corrections) at -1322 meV/atom.



No. 14
A geometry-optimized Er4ZnI5 structure, computed with PBE.

Structure (POSCAR):
```
Er4ZnI5
1.0
9.544 -2.045 0.000
9.544 2.045 0.000
-1.903 0.000 8.632
Er Zn I
4 1 5
Direct
0.000 0.000 0.214
0.000 0.000 0.786
0.354 0.354 0.926
0.646 0.646 0.074
0.500 0.500 0.000
0.167 0.167 0.340
0.175 0.175 0.829
0.500 0.500 0.500
0.825 0.825 0.171
0.833 0.833 0.660
```

Results
The relative energy among the computed polymorphs comes out at 0.000 eV/atom. The calculation puts the formation energy (no corrections) at -954 meV/atom.



No. 15
A geometry-optimized Er4ZnI5 structure, computed with PBE.

Structure (POSCAR):
```
Er4ZnI5
1.0
11.018 -2.041 0.000
11.018 2.041 0.000
-0.033 0.000 8.739
Er Zn I
4 1 5
Direct
0.000 0.000 0.216
0.000 0.000 0.784
0.379 0.379 0.999
0.621 0.621 0.001
0.500 0.500 0.000
0.149 0.149 0.254
0.150 0.150 0.750
0.500 0.500 0.500
0.850 0.850 0.250
0.851 0.851 0.746
```

Results
The relative energy among the computed polymorphs comes out at 0.031 eV/atom. The calculation puts the formation energy (no corrections) at -922 meV/atom.



No. 16
A geometry-optimized ErZnI structure, computed with PBE.

Structure (POSCAR):
```
ErZnI
1.0
6.911 0.000 0.000
0.000 3.990 0.000
-2.103 0.000 13.568
Er Zn I
4 4 4
Direct
0.110 0.000 0.313
0.390 0.500 0.687
0.610 0.500 0.313
0.890 0.000 0.687
0.181 0.000 0.547
0.319 0.500 0.453
0.681 0.500 0.547
0.819 0.000 0.453
0.103 0.500 0.840
0.397 0.000 0.160
0.603 0.000 0.840
0.897 0.500 0.160
```

Results
The calculation puts the formation energy (no corrections) at -631 meV/atom.



No. 17
A geometry-optimized ErZn2I6 structure, computed with PBE.

Structure (POSCAR):
```
ErZn2I6
1.0
7.339 -6.778 0.000
7.339 6.778 0.000
-3.048 0.000 8.283
Er Zn I
2 4 12
Direct
0.078 0.922 0.750
0.922 0.078 0.250
0.219 0.403 0.746
0.403 0.219 0.246
0.597 0.781 0.754
0.781 0.597 0.254
0.004 0.193 0.627
0.045 0.636 0.760
0.193 0.004 0.127
0.345 0.383 0.045
0.364 0.955 0.740
0.383 0.345 0.545
0.617 0.655 0.455
0.636 0.045 0.260
0.655 0.617 0.955
0.807 0.996 0.873
0.955 0.364 0.240
0.996 0.807 0.373
```

Results
The calculation puts the formation energy (no corrections) at -717 meV/atom.



No. 18
A geometry-optimized ErZrI structure, computed with PBE.

Structure (POSCAR):
```
ErZrI
1.0
6.308 0.000 0.000
0.000 3.642 0.000
-0.219 0.000 16.296
Er Zr I
4 4 4
Direct
0.008 0.000 0.234
0.492 0.500 0.766
0.508 0.500 0.234
0.992 0.000 0.766
0.169 0.500 0.074
0.331 0.000 0.926
0.669 0.000 0.074
0.831 0.500 0.926
0.179 0.500 0.370
0.321 0.000 0.630
0.679 0.000 0.370
0.821 0.500 0.630
```

Results
The calculation puts the formation energy (no corrections) at -353 meV/atom.



No. 19
A geometry-optimized Er3In5 structure, computed with PBE.

Structure (POSCAR):
```
Er3In5
1.0
9.154 0.000 0.000
0.000 9.384 0.000
0.000 0.000 4.735
Er In
6 10
Direct
0.000 0.000 0.000
0.000 0.274 0.500
0.000 0.726 0.500
0.500 0.226 0.500
0.500 0.500 0.000
0.500 0.774 0.500
0.000 0.500 0.000
0.232 0.000 0.500
0.250 0.250 0.000
0.250 0.750 0.000
0.268 0.500 0.500
0.500 0.000 0.000
0.732 0.500 0.500
0.750 0.250 0.000
0.750 0.750 0.000
0.768 0.000 0.500
```

Results
The relative energy among the computed polymorphs comes out at 0.021 eV/atom. For the formation enthalpy at 0 K, the calculation gives -0.41 eV per atom.



No. 20
A geometry-optimized Er4In structure, computed with PBE.

Structure (POSCAR):
```
Er4In
1.0
-2.590 3.353 8.134
2.590 -3.353 8.134
2.590 3.353 -8.134
Er In
8 2
Direct
0.000 0.000 0.000
0.144 0.394 0.750
0.202 0.197 0.005
0.308 0.803 0.505
0.500 0.000 0.500
0.692 0.197 0.495
0.798 0.803 0.995
0.856 0.606 0.250
0.361 0.611 0.750
0.639 0.389 0.250
```

Results
The relative energy among the computed polymorphs comes out at 0.000 eV/atom. For the formation enthalpy at 0 K, the calculation gives -0.11 eV per atom.



No. 21
A geometry-optimized Er3In structure, computed with PBE.

Structure (POSCAR):
```
Er3In
1.0
3.460 0.000 0.000
0.000 5.446 0.000
0.000 0.000 6.018
Er In
3 1
Direct
0.000 0.000 0.000
0.000 0.500 0.337
0.500 0.000 0.506
0.500 0.500 0.821
```

Results
For the formation enthalpy at 0 K, the calculation gives -0.16 eV per atom.



No. 22
A geometry-optimized Er7In structure, computed with PBE.

Structure (POSCAR):
```
Er7In
1.0
0.000 4.907 4.907
4.907 0.000 4.907
4.907 4.907 0.000
Er In
7 1
Direct
0.000 0.000 0.000
0.000 0.000 0.500
0.000 0.500 0.000
0.000 0.500 0.500
0.500 0.000 0.000
0.500 0.000 0.500
0.500 0.500 0.000
0.500 0.500 0.500
```

Results
For the formation enthalpy at 0 K, the calculation gives -0.08 eV per atom.



No. 23
A geometry-optimized Er13In3 structure, computed with PBE.

Structure (POSCAR):
```
Er13In3
1.0
7.025 0.000 0.000
0.000 5.533 5.988
0.000 -5.533 5.988
Er In
13 3
Direct
0.000 0.000 0.000
0.000 0.407 0.903
0.000 0.474 0.474
0.000 0.903 0.407
0.254 0.143 0.659
0.254 0.659 0.143
0.254 0.727 0.727
0.500 0.382 0.911
0.500 0.471 0.471
0.500 0.911 0.382
0.746 0.143 0.659
0.746 0.659 0.143
0.746 0.727 0.727
0.239 0.237 0.237
0.500 0.971 0.971
0.761 0.237 0.237
```

Results
For the formation enthalpy at 0 K, the calculation gives -0.14 eV per atom.



No. 24
A geometry-optimized Er3In structure, computed with PBE.

Structure (POSCAR):
```
Er3In
1.0
7.638 0.000 0.000
0.000 7.638 0.000
0.000 0.000 7.638
Er In
12 4
Direct
0.000 0.000 0.000
0.000 0.500 0.500
0.250 0.250 0.250
0.250 0.250 0.750
0.250 0.750 0.250
0.250 0.750 0.750
0.500 0.000 0.500
0.500 0.500 0.000
0.750 0.250 0.250
0.750 0.250 0.750
0.750 0.750 0.250
0.750 0.750 0.750
0.000 0.000 0.500
0.000 0.500 0.000
0.500 0.000 0.000
0.500 0.500 0.500
```

Results
For the formation enthalpy at 0 K, the calculation gives -0.12 eV per atom.



No. 25
A geometry-optimized Er4In structure, computed with PBE.

Structure (POSCAR):
```
Er4In
1.0
-4.568 4.568 3.935
4.568 -4.568 3.935
4.568 4.568 -3.935
Er In
8 2
Direct
0.221 0.286 0.565
0.221 0.657 0.935
0.286 0.221 0.065
0.343 0.779 0.565
0.657 0.221 0.435
0.714 0.779 0.935
0.779 0.343 0.065
0.779 0.714 0.435
0.125 0.875 0.250
0.875 0.125 0.750
```

Results
The relative energy among the computed polymorphs comes out at 0.214 eV/atom. For the formation enthalpy at 0 K, the calculation gives 0.10 eV per atom.



No. 26
A geometry-optimized Er8In structure, computed with PBE.

Structure (POSCAR):
```
Er8In
1.0
-5.237 5.237 2.424
5.237 -5.237 2.424
5.237 5.237 -2.424
Er In
8 1
Direct
0.000 0.335 0.335
0.000 0.665 0.665
0.335 0.000 0.335
0.338 0.338 0.675
0.338 0.662 0.000
0.662 0.338 0.000
0.662 0.662 0.325
0.665 0.000 0.665
0.000 0.000 0.000
```

Results
The relative energy among the computed polymorphs comes out at 0.000 eV/atom. For the formation enthalpy at 0 K, the calculation gives -0.07 eV per atom.